Entry 1:
Compound: CsHfTaS5
Source: the Open Quantum Materials Database
Functional: GGA-PBE
Structure: relaxed

Cell and atoms, written as POSCAR:
```
CsHfTaS5
1.0
7.266 0.000 0.000
2.164 7.983 0.000
2.181 3.351 8.282
Cs Hf S Ta
2 2 10 2
Direct
0.615 0.323 0.315 Cs
0.385 0.677 0.685 Cs
0.988 0.704 0.337 Hf
0.012 0.296 0.663 Hf
0.443 0.215 0.002 S
0.057 0.776 0.024 S
0.680 0.902 0.288 S
0.219 0.885 0.295 S
0.085 0.385 0.368 S
0.915 0.615 0.632 S
0.781 0.115 0.705 S
0.320 0.098 0.712 S
0.943 0.224 0.976 S
0.557 0.785 0.998 S
0.252 0.033 0.002 Ta
0.748 0.967 0.998 Ta
```

Computed properties:
uncorrected energy: -6.673 eV per atom
V: 480 Å³/cell

Entry 2:
Compound: CsHfTlS3
Source: the Open Quantum Materials Database
Functional: GGA-PBE
Structure: relaxed

Cell and atoms, written as POSCAR:
```
CsHfTlS3
1.0
-11.648 10.724 3.620
-0.815 -1.954 3.164
7.718 6.382 5.929
Cs Hf S Tl
4 4 12 4
Direct
0.734 0.250 0.112 Cs
0.234 0.250 0.388 Cs
0.766 0.750 0.612 Cs
0.266 0.750 0.888 Cs
0.064 0.750 0.123 Hf
0.564 0.750 0.377 Hf
0.436 0.250 0.623 Hf
0.936 0.250 0.877 Hf
0.167 0.250 0.105 S
0.953 0.250 0.107 S
0.558 0.750 0.165 S
0.058 0.750 0.335 S
0.453 0.250 0.393 S
0.667 0.250 0.395 S
0.333 0.750 0.605 S
0.547 0.750 0.607 S
0.942 0.250 0.665 S
0.442 0.250 0.835 S
0.047 0.750 0.893 S
0.833 0.750 0.895 S
0.429 0.250 0.137 Tl
0.929 0.250 0.363 Tl
0.071 0.750 0.637 Tl
0.571 0.750 0.863 Tl
```

Computed properties:
energy above the lowest structure with this stoichiometry: 0.000 eV per atom
V: 720 Å³/cell